# BaEuYWO6

A geometry-optimized BaEuYWO6 structure (GGA+U, Alexandria).

- size of the total moment (μB per atom) = 0.8000
- relative energy among the computed polymorphs (eV/atom) = 0.096
- theoretical density (g cm⁻³) = 7.22
- DOS(E_F) (states/eV/atom) = 1.1017
- raw total energy (eV for the cell shown) = -82.946
- space group = F-43m, No. 216

The structure in CIF format:
```
data_BaEuYWO6
_space_group_name_H-M_alt 'P 1'
_space_group_IT_number 1
_space_group_name_Hall 'P 1'
_cell_length_a 5.981
_cell_length_b 5.981
_cell_length_c 5.981
_cell_angle_alpha 60.00
_cell_angle_beta 60.00
_cell_angle_gamma 60.00
loop_
_atom_site_label
_atom_site_type_symbol
_atom_site_fract_x
_atom_site_fract_y
_atom_site_fract_z
O1 O 0.764 0.236 0.764
O2 O 0.236 0.764 0.236
Ba1 Ba 0.250 0.250 0.250
Eu1 Eu 0.750 0.750 0.750
O3 O 0.764 0.764 0.236
O4 O 0.764 0.236 0.236
W1 W 0.000 0.000 0.000
Y1 Y 0.500 0.500 0.500
O5 O 0.236 0.764 0.764
O6 O 0.236 0.236 0.764
```